(1)
# AsPdRuBr2

Crystalline AsPdRuBr2 at its relaxed geometry (PBE-GGA, Alexandria).

Calculated values
**Symmetry**: P4/mmm, No. 123
**Crystal system**: tetragonal
**Relative energy among the computed polymorphs**: 0.000 eV/f.u.
**E_form (uncorrected)**: 592.9 meV per atom
**Volume**: 24.65 A^3/atom
**E**: -3.90 eV/atom

Cell lengths 5.166, 5.166, 4.618 Å; angles 90.00, 90.00, 90.00 degrees
Atoms (fractional coordinates):
As (0.000, 0.000, 0.000)
Pd (0.500, 0.500, 0.000)
Ru (0.000, 0.000, 0.500)
Br (0.000, 0.500, 0.500)
Br (0.500, 0.000, 0.500)


(2)
# As2PdSBr

Crystalline As2PdSBr at its relaxed geometry (PBE-GGA, Alexandria).

Calculated values
**Symmetry**: P4/mmm, No. 123
**Crystal system**: tetragonal
**Relative energy among the computed polymorphs**: 0.921 eV/f.u.
**E_form (uncorrected)**: 882.0 meV per atom
**Volume**: 23.13 A^3/atom
**E**: -3.18 eV/atom

Cell lengths 4.810, 4.810, 4.999 Å; angles 90.00, 90.00, 90.00 degrees
Atoms (fractional coordinates):
As (0.000, 0.500, 0.000)
As (0.500, 0.000, 0.000)
Pd (0.000, 0.000, 0.500)
S (0.500, 0.500, 0.000)
Br (0.500, 0.500, 0.500)


(3)
# As2PdSBr

Crystalline As2PdSBr at its relaxed geometry (PBE-GGA, Alexandria).

Calculated values
**Symmetry**: P4/mmm, No. 123
**Crystal system**: tetragonal
**Relative energy among the computed polymorphs**: 0.000 eV/f.u.
**E_form (uncorrected)**: 697.9 meV per atom
**Volume**: 23.99 A^3/atom
**E**: -3.36 eV/atom

Cell lengths 4.921, 4.921, 4.952 Å; angles 90.00, 90.00, 90.00 degrees
Atoms (fractional coordinates):
As (0.000, 0.500, 0.000)
As (0.500, 0.000, 0.000)
Pd (0.000, 0.000, 0.000)
S (0.500, 0.500, 0.500)
Br (0.000, 0.000, 0.500)